# AlSe2N2, relaxed, DFT PBE
data_AlSe2N2
_cell_length_a 5.085
_cell_length_b 5.085
_cell_length_c 3.558
_cell_angle_alpha 90.00
_cell_angle_beta 90.00
_cell_angle_gamma 90.00
_space_group_name_H-M_alt 'P 4/m m m'
_space_group_IT_number 123
_space_group_name_Hall '-P 4 2'
loop_
_atom_site_label
_atom_site_type_symbol
_atom_site_fract_x
_atom_site_fract_y
_atom_site_fract_z
_atom_site_occupancy
Al1 Al 0.000 0.000 0.000 1
Se1 Se 0.000 0.500 0.000 1
N1 N 0.000 0.000 0.500 1
N2 N 0.500 0.500 0.500 1
# **Crystal system**: tetragonal
# **Total DFT energy (no corrections)**: -4.0475 eV/atom